This record from Alexandria via LeMat-Bulk describes an optimized crystal structure of ErCuBi2Se5. The functional is GGA-PBE.

Output
ρ = 6.73 g/cm3
ΔE_f (raw) = -0.72 eV per atom
size of the total moment = 0.0 μB/cell
space group = Cmc2_1 (36)
calculated volume = 28.60 A^3/atom
uncorrected energy = -0.165 Ha/atom

Geometry as POSCAR:
```
ErCuBi2Se5
1.0
2.047 -9.745 0.000
2.047 9.745 0.000
0.000 0.000 12.904
Er Cu Bi Se
2 2 4 10
direct
0.196 0.804 0.500 Er
0.804 0.196 0.000 Er
0.422 0.578 0.942 Cu
0.578 0.422 0.442 Cu
0.081 0.919 0.744 Bi
0.157 0.843 0.168 Bi
0.843 0.157 0.668 Bi
0.919 0.081 0.244 Bi
0.050 0.950 0.537 Se
0.299 0.701 0.158 Se
0.310 0.690 0.852 Se
0.344 0.656 0.517 Se
0.485 0.515 0.777 Se
0.515 0.485 0.277 Se
0.656 0.344 0.017 Se
0.690 0.310 0.352 Se
0.701 0.299 0.658 Se
0.950 0.050 0.037 Se
```


This record from Alexandria via LeMat-Bulk describes an optimized crystal structure of MnFe3S. The functional is GGA-PBE.

Output
DOS(E_F) = 16.21 states/eV per cell
ρ = 6.58 g/cm3
ΔE_f (raw) = 0.81 eV per atom
size of the total moment = 0.2 μB/cell
space group = Pm-3m (221)
calculated volume = 12.84 A^3/atom
uncorrected energy = -0.254 Ha/atom

Geometry as POSCAR:
```
MnFe3S
1.0
4.004 0.000 0.000
0.000 4.004 0.000
0.000 0.000 4.004
Mn Fe S
1 3 1
direct
0.000 0.000 0.000 Mn
0.000 0.500 0.500 Fe
0.500 0.000 0.500 Fe
0.500 0.500 0.000 Fe
0.500 0.500 0.500 S
```


This record from Alexandria via LeMat-Bulk describes an optimized crystal structure of Al2Sb2Pb. The functional is GGA-PBE.

Output
DOS(E_F) = 2.62 states/eV per cell
ρ = 6.34 g/cm3
ΔE_f (raw) = 0.12 eV per atom
size of the total moment = 0.0 μB/cell
space group = I4/mmm (139)
calculated volume = 26.45 A^3/atom
uncorrected energy = -0.138 Ha/atom

Geometry as POSCAR:
```
Al2Sb2Pb
1.0
-2.679 2.679 4.605
2.679 -2.679 4.605
2.679 2.679 -4.605
Al Sb Pb
2 2 1
direct
0.140 0.140 0.000 Al
0.860 0.860 0.000 Al
0.250 0.750 0.500 Sb
0.750 0.250 0.500 Sb
0.500 0.500 0.000 Pb
```


This record from Alexandria via LeMat-Bulk describes an optimized crystal structure of NaAuF2. The functional is GGA-PBE.

Output
DOS(E_F) = 0.79 states/eV per cell
ρ = 7.68 g/cm3
ΔE_f (raw) = -1.28 eV per atom
size of the total moment = 0.0 μB/cell
space group = Fm-3m (225)
calculated volume = 13.95 A^3/atom
uncorrected energy = -0.124 Ha/atom

Geometry as POSCAR:
```
NaAuF2
1.0
0.000 3.033 3.033
3.033 0.000 3.033
3.033 3.033 0.000
Na Au F
1 1 2
direct
0.000 0.000 0.000 Na
0.500 0.500 0.500 Au
0.250 0.250 0.250 F
0.750 0.750 0.750 F
```


This record from Alexandria via LeMat-Bulk describes an optimized crystal structure of CaNi2Ge3. The functional is GGA-PBE.

Output
DOS(E_F) = 5.31 states/eV per cell
ρ = 6.08 g/cm3
size of the total moment = 0.0 μB/cell
formation energy from the elements = -0.3385 eV per atom
space group = Cmcm (63)
calculated volume = 17.10 A^3/atom
uncorrected energy = -0.180 Ha/atom

Geometry as POSCAR:
```
CaNi2Ge3
1.0
5.038 -3.862 0.000
5.038 3.862 0.000
0.000 0.000 5.273
Ca Ni Ge
2 4 6
direct
0.162 0.838 0.750 Ca
0.838 0.162 0.250 Ca
0.298 0.298 0.000 Ni
0.298 0.298 0.500 Ni
0.702 0.702 0.000 Ni
0.702 0.702 0.500 Ni
0.025 0.603 0.250 Ge
0.397 0.975 0.250 Ge
0.441 0.559 0.250 Ge
0.559 0.441 0.750 Ge
0.603 0.025 0.750 Ge
0.975 0.397 0.750 Ge
```


This record from Alexandria via LeMat-Bulk describes an optimized crystal structure of Sr6Au3N2. The functional is GGA-PBE.

Output
DOS(E_F) = 6.57 states/eV per cell
ρ = 5.80 g/cm3
ΔE_f (raw) = -0.57 eV per atom
size of the total moment = 0.0 μB/cell
space group = I4/mmm (139)
calculated volume = 29.78 A^3/atom
uncorrected energy = -0.143 Ha/atom

Geometry as POSCAR:
```
Sr6Au3N2
1.0
-2.511 2.511 12.992
2.511 -2.511 12.992
2.511 2.511 -12.992
Sr Au N
6 3 2
direct
0.085 0.585 0.500 Sr
0.198 0.198 0.000 Sr
0.415 0.915 0.500 Sr
0.585 0.085 0.500 Sr
0.802 0.802 0.000 Sr
0.915 0.415 0.500 Sr
0.326 0.326 0.000 Au
0.500 0.500 0.000 Au
0.674 0.674 0.000 Au
0.106 0.106 0.000 N
0.894 0.894 0.000 N
```


Q: Which of these has the lowest uncorrected energy?
A: MnFe3S